A crystal of CdMoN3 relaxed with PBEsol, computed with meta-GGA SCAN.

Geometry as POSCAR:
```
CdMoN3
1.0
3.940 0.000 0.000
0.000 3.940 0.000
0.000 0.000 3.940
Mo N Cd
1 3 1
direct
0.000 0.000 0.000
0.000 0.500 0.000
0.000 0.000 0.500
0.500 0.000 0.000
0.500 0.500 0.500
```

Properties
raw formation energy	0.50	eV/atom
D(E_F)	0.239	states/eV per atom
total energy	-1.3327	Ry/atom
symmetry	Pm-3m

***

A crystal of CdSnMo2N relaxed with PBEsol, computed with meta-GGA SCAN.

Geometry as POSCAR:
```
CdSnMo2N
1.0
3.790 0.000 0.000
0.000 5.065 0.000
0.000 0.000 5.065
Mo N Sn Cd
2 1 1 1
direct
0.000 0.000 0.500
0.000 0.500 0.000
0.500 0.000 0.000
0.500 0.500 0.500
0.000 0.000 0.000
```

Properties
raw formation energy	2.20	eV/atom
D(E_F)	0.598	states/eV per atom
total energy	-1.9758	Ry/atom
symmetry	P4/mmm

***

A crystal of Na3CdMo relaxed with PBEsol, computed with meta-GGA SCAN.

Geometry as POSCAR:
```
Na3CdMo
1.0
5.552 0.000 0.000
0.000 5.552 0.000
0.000 0.000 5.552
Na Mo Cd
3 1 1
direct
0.000 0.500 0.000
0.000 0.000 0.500
0.500 0.000 0.000
0.500 0.500 0.500
0.000 0.000 0.000
```

Properties
formation enthalpy at 0 K	1.013	eV per atom
D(E_F)	0.454	states/eV per atom
total energy	-1.0713	Ry/atom
E above lowest polymorph	0	meV per atom
symmetry	Pm-3m

***

A crystal of ZrCdNi2Mo relaxed with PBEsol, computed with meta-GGA SCAN.

Geometry as POSCAR:
```
ZrCdNi2Mo
1.0
4.394 0.000 0.000
0.000 4.394 0.000
0.000 0.000 5.182
Ni Mo Zr Cd
2 1 1 1
direct
0.000 0.500 0.000
0.500 0.000 0.000
0.500 0.500 0.500
0.000 0.000 0.000
0.000 0.000 0.500
```

Properties
formation enthalpy at 0 K	1.605	eV per atom
D(E_F)	0.582	states/eV per atom
total energy	-1.7687	Ry/atom
symmetry	P4/mmm

***

A crystal of CdMoPO6 relaxed with PBEsol, computed with meta-GGA SCAN.

Geometry as POSCAR:
```
CdMoPO6
1.0
4.903 0.000 0.001
0.000 8.550 0.000
-1.110 0.000 10.976
Cd Mo P O
4 4 4 24
direct
0.598 0.671 0.923
0.902 0.171 0.577
0.098 0.829 0.423
0.402 0.329 0.077
0.604 0.591 0.612
0.396 0.409 0.388
0.896 0.091 0.888
0.104 0.909 0.112
0.393 0.944 0.709
0.607 0.056 0.291
0.107 0.444 0.791
0.893 0.556 0.209
0.160 0.108 0.036
0.278 0.483 0.687
0.329 0.962 0.276
0.671 0.038 0.724
0.746 0.516 0.084
0.171 0.462 0.224
0.840 0.892 0.964
0.754 0.016 0.416
0.778 0.017 0.187
0.722 0.517 0.313
0.222 0.983 0.813
0.660 0.392 0.536
0.338 0.785 0.061
0.036 0.267 0.777
0.246 0.984 0.584
0.536 0.233 0.277
0.964 0.733 0.223
0.662 0.215 0.939
0.464 0.767 0.723
0.829 0.538 0.776
0.340 0.608 0.464
0.254 0.484 0.916
0.162 0.285 0.439
0.838 0.715 0.561
```

Properties
raw formation energy	-2.13	eV/atom
total energy	-1.0800	Ry/atom
symmetry	P2_1/c

***

A crystal of Rb2Cd2Mo3O12 relaxed with PBEsol, computed with meta-GGA SCAN.

Geometry as POSCAR:
```
Rb2Cd2Mo3O12
1.0
11.304 0.000 0.000
0.000 11.304 0.000
0.000 0.000 11.304
Rb Cd Mo O
8 8 12 48
direct
0.062 0.062 0.062
0.438 0.938 0.562
0.938 0.562 0.438
0.562 0.438 0.938
0.832 0.832 0.832
0.668 0.168 0.332
0.168 0.332 0.668
0.332 0.668 0.168
0.335 0.335 0.335
0.165 0.665 0.835
0.665 0.835 0.165
0.835 0.165 0.665
0.605 0.605 0.605
0.895 0.395 0.105
0.395 0.105 0.895
0.105 0.895 0.395
0.023 0.211 0.377
0.477 0.789 0.877
0.977 0.711 0.123
0.377 0.023 0.211
0.523 0.289 0.623
0.877 0.477 0.789
0.123 0.977 0.711
0.623 0.523 0.289
0.211 0.377 0.023
0.711 0.123 0.977
0.289 0.623 0.523
0.789 0.877 0.477
0.021 0.064 0.322
0.479 0.936 0.822
0.979 0.564 0.178
0.322 0.021 0.064
0.521 0.436 0.678
0.822 0.479 0.936
0.178 0.979 0.564
0.678 0.521 0.436
0.064 0.322 0.021
0.564 0.178 0.979
0.436 0.678 0.521
0.936 0.822 0.479
0.275 0.490 0.443
0.225 0.510 0.943
0.725 0.990 0.057
0.443 0.275 0.490
0.775 0.010 0.557
0.943 0.225 0.510
0.057 0.725 0.990
0.557 0.775 0.010
0.490 0.443 0.275
0.990 0.057 0.725
0.010 0.557 0.775
0.510 0.943 0.225
0.046 0.804 0.227
0.454 0.196 0.727
0.954 0.304 0.273
0.227 0.046 0.804
0.546 0.696 0.773
0.727 0.454 0.196
0.273 0.954 0.304
0.773 0.546 0.696
0.804 0.227 0.046
0.304 0.273 0.954
0.696 0.773 0.546
0.196 0.727 0.454
0.168 0.258 0.408
0.332 0.742 0.908
0.832 0.758 0.092
0.408 0.168 0.258
0.668 0.242 0.592
0.908 0.332 0.742
0.092 0.832 0.758
0.592 0.668 0.242
0.258 0.408 0.168
0.758 0.092 0.832
0.242 0.592 0.668
0.742 0.908 0.332
```

Properties
raw formation energy	-2.04	eV/atom
D(E_F)	0.000	states/eV per atom
total energy	-1.2396	Ry/atom
symmetry	P2_13

***

A crystal of CdTeMoO6 relaxed with PBEsol, computed with meta-GGA SCAN.

Geometry as POSCAR:
```
CdTeMoO6
1.0
5.265 0.000 0.000
0.000 5.265 0.000
0.000 0.000 8.973
Cd Te Mo O
2 2 2 12
direct
0.000 0.000 0.500
0.500 0.500 0.500
0.500 0.000 0.765
0.000 0.500 0.235
0.500 0.000 0.185
0.000 0.500 0.815
0.681 0.181 0.067
0.319 0.819 0.067
0.196 0.696 0.373
0.804 0.304 0.373
0.781 0.281 0.715
0.219 0.719 0.715
0.696 0.804 0.627
0.281 0.219 0.285
0.304 0.196 0.627
0.819 0.681 0.933
0.181 0.319 0.933
0.719 0.781 0.285
```

Properties
raw formation energy	-1.65	eV/atom
D(E_F)	0.000	states/eV per atom
total energy	-1.2643	Ry/atom
symmetry	P-42_1m

***

A crystal of Cd4Mo3WO16 relaxed with PBEsol, computed with meta-GGA SCAN.

Geometry as POSCAR:
```
Cd4Mo3WO16
1.0
5.163 0.000 0.000
0.000 5.163 0.000
0.000 0.000 11.081
Cd Mo W O
4 3 1 16
direct
0.000 0.500 0.750
0.500 0.000 0.250
0.500 0.500 0.000
0.000 0.000 0.500
0.500 0.000 0.750
0.000 0.500 0.250
0.000 0.000 0.000
0.500 0.500 0.500
0.343 0.241 0.838
0.840 0.740 0.338
0.657 0.759 0.838
0.160 0.260 0.338
0.243 0.157 0.088
0.746 0.660 0.589
0.757 0.843 0.088
0.254 0.340 0.589
0.157 0.757 0.912
0.660 0.254 0.411
0.843 0.243 0.912
0.340 0.746 0.411
0.260 0.840 0.662
0.759 0.343 0.162
0.740 0.160 0.662
0.241 0.657 0.162
```

Properties
raw formation energy	-1.95	eV/atom
D(E_F)	0.000	states/eV per atom
total energy	-1.3549	Ry/atom
symmetry	P-4

***

A crystal of CdMoOs relaxed with PBEsol, computed with meta-GGA SCAN.

Geometry as POSCAR:
```
CdMoOs
1.0
2.805 0.000 0.000
-1.403 2.429 0.000
0.000 0.000 7.047
Cd Mo Os
1 1 1
direct
0.000 0.000 0.003
0.333 0.667 0.643
0.667 0.333 0.354
```

Properties
formation enthalpy at 0 K	0.261	eV per atom
D(E_F)	0.487	states/eV per atom
total energy	-3.3417	Ry/atom
E above lowest polymorph	4	meV per atom
symmetry	P3m1

***

A crystal of CdMoOs relaxed with PBEsol, computed with meta-GGA SCAN.

Geometry as POSCAR:
```
CdMoOs
1.0
2.954 0.000 0.000
0.000 2.954 0.000
-1.477 -1.477 5.658
Cd Mo Os
1 1 1
direct
0.997 0.997 0.995
0.687 0.687 0.375
0.315 0.315 0.631
```

Properties
formation enthalpy at 0 K	0.256	eV per atom
D(E_F)	0.564	states/eV per atom
total energy	-3.3420	Ry/atom
E above lowest polymorph	0	meV per atom
symmetry	I4mm

***

A crystal of CdMoOs relaxed with PBEsol, computed with meta-GGA SCAN.

Geometry as POSCAR:
```
CdMoOs
1.0
-4.288 0.285 0.016
-2.364 -3.066 -1.864
-2.323 -2.689 2.416
Cd Mo Os
1 1 1
direct
0.000 0.000 0.000
0.500 0.500 0.500
0.250 0.250 0.250
```

Properties
formation enthalpy at 0 K	0.739	eV per atom
D(E_F)	1.047	states/eV per atom
total energy	-3.3065	Ry/atom
E above lowest polymorph	482	meV per atom
symmetry	F-43m

***

A crystal of CdMoP2 relaxed with PBEsol, computed with meta-GGA SCAN.

Geometry as POSCAR:
```
CdMoP2
1.0
-1.564 0.176 -2.704
-0.693 -3.044 0.203
-5.152 1.408 3.522
Cd Mo P
1 1 2
direct
0.500 0.500 0.000
0.500 0.500 0.500
0.022 0.000 0.701
0.978 0.000 0.299
```

Properties
formation enthalpy at 0 K	-0.087	eV per atom
D(E_F)	0.157	states/eV per atom
total energy	-1.5884	Ry/atom
symmetry	P2/m

***

A crystal of CdMoP2 relaxed with PBEsol, computed with meta-GGA SCAN.

Geometry as POSCAR:
```
CdMoP2
1.0
3.307 0.000 -0.107
0.000 4.458 0.000
-1.502 0.000 4.481
Cd Mo P
1 1 2
direct
0.460 0.000 0.544
0.074 0.500 0.773
0.185 0.000 0.995
0.781 0.500 0.188
```

Properties
formation enthalpy at 0 K	0.163	eV per atom
D(E_F)	0.316	states/eV per atom
total energy	-1.5700	Ry/atom
symmetry	Pm

***

A crystal of CdMo4P relaxed with PBEsol, computed with meta-GGA SCAN.

Geometry as POSCAR:
```
CdMo4P
1.0
-0.034 -2.821 -4.360
4.316 -0.417 -2.857
2.560 -4.514 -0.192
Cd Mo P
1 4 1
direct
0.000 0.000 0.000
0.374 0.374 0.374
0.374 0.374 0.878
0.878 0.374 0.374
0.374 0.878 0.374
0.750 0.750 0.750
```

Properties
formation enthalpy at 0 K	0.715	eV per atom
D(E_F)	0.909	states/eV per atom
total energy	-2.1568	Ry/atom
symmetry	F-43m

***

A crystal of CdMoP2 relaxed with PBEsol, computed with meta-GGA SCAN.

Geometry as POSCAR:
```
CdMoP2
1.0
3.675 0.000 0.000
0.000 3.675 0.000
-1.837 -1.837 4.610
Cd Mo P
1 1 2
direct
0.500 0.500 0.000
0.250 0.750 0.500
0.000 0.000 0.000
0.750 0.250 0.500
```

Properties
formation enthalpy at 0 K	0.506	eV per atom
D(E_F)	0.447	states/eV per atom
total energy	-1.5448	Ry/atom
symmetry	I-4m2

***

A crystal of CdMoP2 relaxed with PBEsol, computed with meta-GGA SCAN.

Geometry as POSCAR:
```
CdMoP2
1.0
-2.587 -1.113 0.184
1.820 -1.529 1.522
-1.798 5.438 7.615
Cd Mo P
1 1 2
direct
0.500 0.500 0.500
0.500 0.500 0.000
0.000 0.000 0.190
0.000 0.000 0.810
```

Properties
formation enthalpy at 0 K	0.223	eV per atom
D(E_F)	0.629	states/eV per atom
total energy	-1.5656	Ry/atom
symmetry	Cmmm

***

A crystal of Sr2CdMoP relaxed with PBEsol, computed with meta-GGA SCAN.

Geometry as POSCAR:
```
Sr2CdMoP
1.0
5.120 0.000 0.000
0.000 5.494 0.000
0.000 0.000 5.494
Sr Mo P Cd
2 1 1 1
direct
0.000 0.000 0.500
0.000 0.500 0.000
0.000 0.000 0.000
0.500 0.500 0.500
0.500 0.000 0.000
```

Properties
formation enthalpy at 0 K	0.940	eV per atom
D(E_F)	0.809	states/eV per atom
total energy	-1.6986	Ry/atom
symmetry	P4/mmm

***

A crystal of CdMo2Pb relaxed with PBEsol, computed with meta-GGA SCAN.

Geometry as POSCAR:
```
CdMo2Pb
1.0
-1.230 -0.158 3.111
4.118 -1.627 1.546
-0.021 5.240 -1.545
Cd Mo Pb
1 2 1
direct
0.000 0.500 0.000
0.754 0.754 0.508
0.246 0.246 0.492
0.500 0.000 0.000
```

Properties
formation enthalpy at 0 K	0.732	eV per atom
D(E_F)	0.695	states/eV per atom
total energy	-3.1795	Ry/atom
E above lowest polymorph	299	meV per atom
symmetry	Immm

***

A crystal of CdMoPb relaxed with PBEsol, computed with meta-GGA SCAN.

Geometry as POSCAR:
```
CdMoPb
1.0
3.093 0.000 0.000
0.000 3.940 0.000
-1.546 -1.970 4.915
Cd Mo Pb
1 1 1
direct
0.012 0.012 0.024
0.661 0.661 0.322
0.327 0.327 0.654
```

Properties
formation enthalpy at 0 K	0.748	eV per atom
D(E_F)	1.057	states/eV per atom
total energy	-3.4014	Ry/atom
E above lowest polymorph	88	meV per atom
symmetry	Imm2

***

A crystal of CdMo2Pb relaxed with PBEsol, computed with meta-GGA SCAN.

Geometry as POSCAR:
```
CdMo2Pb
1.0
2.952 0.011 0.000
-1.151 2.718 0.000
0.000 0.000 9.894
Cd Mo Pb
1 2 1
direct
0.500 0.500 0.216
0.000 0.000 0.975
0.500 0.500 0.784
0.000 0.000 0.525
```

Properties
formation enthalpy at 0 K	0.433	eV per atom
D(E_F)	0.488	states/eV per atom
total energy	-3.2015	Ry/atom
E above lowest polymorph	0	meV per atom
symmetry	Cmm2